Compound: Rb2IrF6
Source: Alexandria via LeMat-Bulk
Functional: PBE-GGA
Structure: optimized geometry

The structure belongs to space group P2_1/c (No. 14); the cell edges are 6.1748, 7.9758 and 8.0775 Å and the angles 90.00°, 118.55° and 90.00°. The asymmetric unit holds Rb at (0.1801, 0.0665, 0.3185), Ir at (0.5000, 0.0000, 0.0000), F at (0.2030, 0.1160, 0.9806), F at (0.3276, 0.7160, 0.4519) and F at (0.3620, 0.0310, 0.7262).

Its density of states at the Fermi level is 1.027 states/eV/atom. The value obtained for the formation energy (no corrections) is -19.69 eV/f.u. Its mass density is 4.53 g/cm3.